Entry 1:
A relaxed Nd2Er2Tm crystal, computed with PBE.

E_tot = -4.4899 eV/atom

abc: 5.6920 3.6403 16.1343
angles: 96.48 100.16 90.00
Positions (direct):
Er  0.4594  0.7094  0.9187
Nd  0.3721  0.1221  0.7443
Er  0.0533  0.8033  0.1066
Nd  0.6279  0.8779  0.2557
Nd  0.2726  0.0226  0.5451
Nd  0.7274  0.9774  0.4549
Er  0.9467  0.1967  0.8934
Er  0.5406  0.2906  0.0813
Tm  0.1687  0.4187  0.3375
Tm  0.8313  0.5813  0.6625


Entry 2:
A relaxed Np2Sb4Au crystal, computed with PBE.

uncorrected formation energy = -0.27 eV/atom

abc: 4.3819 4.3819 9.5829
angles: 90.00 90.00 90.00
Each line ends with the local moment (μB).
Positions (direct):
Np  0.5000  0.0000  0.7549  3.67
Sb  0.5000  0.0000  0.1782  -0.09
Au  0.5000  0.5000  0.0000  -0.05
Sb  0.5000  0.5000  0.5000  -0.06
Np  0.0000  0.5000  0.2451  3.67
Sb  0.0000  0.5000  0.8218  -0.09
Sb  0.0000  0.0000  0.5000  -0.06


Number 2 is which compound? Np2Sb4Au